Entry 1:
Below is a relaxed structure of Tl2ZnMo, with properties calculated at the PBE level.

Cell: 3.1103 5.5153 5.8942 Å, 53.32 90.00 90.00°
Closest atoms and distances in Å follow each position.
Fractional coordinates of all 4 atoms:
Tl (0.5000, 0.5000, 0.0000)  2 Zn 2.95, 4 Mo 3.00, 6 Tl 3.11-3.17
Tl (0.0000, 0.0000, 0.0000)  2 Mo 2.95, 4 Zn 3.00, 6 Tl 3.11-3.17
Mo (0.0000, 0.0000, 0.5000)  6 Tl 2.95-3.00, 2 Mo 3.11, 4 Zn 3.17
Zn (0.5000, 0.5000, 0.5000)  6 Tl 2.95-3.00, 2 Zn 3.11, 4 Mo 3.17

SG: P2/m, No. 10
Formation energy from the elements (eV per formula unit): 2.53


Entry 2:
Below is a relaxed structure of Ac4TbIr3, with properties calculated at the PBE level.

Cell: 7.5004 8.0224 11.0002 Å, 110.58 90.00 117.87°
Closest atoms and distances in Å follow each position.
Fractional coordinates of all 16 atoms:
Ac (0.7314, 0.7875, 0.0448)  4 Ir 2.97-3.09
Ac (0.5362, 0.4042, 0.6257)  4 Ir 2.99-3.04
Ac (0.9293, 0.2057, 0.4395)  3 Ir 2.92-2.99
Ac (0.2765, 0.2057, 0.9395)  3 Ir 2.92-2.99
Ac (0.8680, 0.4042, 0.1257)  4 Ir 2.99-3.04
Ac (0.0561, 0.7875, 0.5448)  4 Ir 2.97-3.09
Ac (0.4743, 0.6019, 0.3407)  4 Ir 3.02-3.09
Ac (0.1276, 0.6019, 0.8407)  4 Ir 3.02-3.09
Ir (0.6819, 0.3680, 0.3667)  1 Tb 2.83, 5 Ac 2.96-3.09
Ir (0.8961, 0.8176, 0.7997)  1 Tb 2.83, 5 Ac 2.92-3.09
Ir (0.9214, 0.8176, 0.2997)  1 Tb 2.83, 5 Ac 2.92-3.09
Ir (0.3054, 0.6103, 0.5932)  1 Tb 2.82, 5 Ac 2.97-3.05
Ir (0.6862, 0.3680, 0.8667)  1 Tb 2.83, 5 Ac 2.96-3.09
Ir (0.3049, 0.6103, 0.0932)  1 Tb 2.82, 5 Ac 2.97-3.05
Tb (0.6664, 0.9846, 0.7396)  3 Ir 2.82-2.83
Tb (0.3182, 0.9846, 0.2396)  3 Ir 2.82-2.83

SG: Cc, No. 9
Formation energy from the elements (eV per formula unit): -4.83


Entry 3:
Below is a relaxed structure of Ti2NbZn2, with properties calculated at the PBE level.

Cell: 3.7143 3.7143 6.5672 Å, 73.57 73.57 90.00°
Closest atoms and distances in Å follow each position.
Fractional coordinates of all 5 atoms:
Ti (0.2500, 0.7500, 0.5000)  4 Ti 2.63, 4 Zn 2.63
Ti (0.7500, 0.2500, 0.5000)  4 Ti 2.63, 4 Zn 2.63
Nb (0.0000, 0.0000, 0.0000)  8 Zn 2.87
Zn (0.4049, 0.4049, 0.1903)  1 Zn 2.29
Zn (0.5951, 0.5951, 0.8097)  1 Zn 2.29

SG: I4/mmm, No. 139
Formation energy from the elements (eV per formula unit): 0.80


Entry 4:
Below is a relaxed structure of BaNbGa2Tc, with properties calculated at the PBE level.

Cell: 5.0054 4.9278 5.0054 Å, 90.00 90.00 90.00°
Closest atoms and distances in Å follow each position.
Fractional coordinates of all 5 atoms:
Tc (0.0000, 0.0000, 0.0000)  2 Nb 2.46, 4 Ga 2.50
Ba (0.5000, 0.5000, 0.5000)  8 Ga 3.51, 4 Nb 3.54
Ga (0.5000, 0.0000, 0.0000)  2 Tc 2.50
Ga (0.0000, 0.0000, 0.5000)  2 Tc 2.50
Nb (0.0000, 0.5000, 0.0000)  2 Tc 2.46

SG: P4/mmm, No. 123
Formation energy from the elements (eV per formula unit): 0.66


Entry 5:
Below is a relaxed structure of Ba2PdAuO6, with properties calculated at the PBE level.

Cell: 5.2708 5.5593 6.3742 Å, 115.85 108.26 90.00°
Closest atoms and distances in Å follow each position.
Fractional coordinates of all 10 atoms:
O (0.7540, 0.3212, 0.6425)  1 Pd 2.01
O (0.7994, 0.8208, 0.1335)  1 Au 2.03, 1 Pd 2.06
O (0.7994, 0.3127, 0.1335)  1 Au 2.03, 1 Pd 2.06
O (0.2006, 0.1792, 0.8665)  1 Au 2.03, 1 Pd 2.06
O (0.2006, 0.6873, 0.8665)  1 Au 2.03, 1 Pd 2.06
O (0.2460, 0.6788, 0.3575)  1 Pd 2.01
Ba (0.7814, 0.7661, 0.5322)  8 O 2.65-2.95
Ba (0.2186, 0.2339, 0.4678)  8 O 2.65-2.95
Pd (0.0000, 0.5000, 0.0000)  6 O 2.01-2.06
Au (0.5000, 0.0000, 0.0000)  4 O 2.03

SG: C2/m, No. 12
Uncorrected formation energy (eV per atom): -1.203


Entry 6:
Below is a relaxed structure of Na8Tl2Zn, with properties calculated at the PBE level.

Cell: 4.9551 7.5648 9.2550 Å, 102.60 105.53 90.00°
Closest atoms and distances in Å follow each position.
Fractional coordinates of all 11 atoms:
Na (0.3226, 0.0885, 0.6452)  1 Zn 3.38, 8 Na 3.42-3.61, 3 Tl 3.45-3.47
Na (0.8564, 0.8052, 0.7128)  3 Tl 3.33-3.46, 7 Na 3.34-3.46, 2 Zn 3.63
Na (0.1436, 0.1948, 0.2872)  3 Tl 3.33-3.46, 7 Na 3.34-3.46, 2 Zn 3.63
Na (0.0425, 0.7505, 0.0851)  2 Zn 3.31, 8 Na 3.44-3.66, 1 Tl 3.53
Na (0.4022, 0.5531, 0.8043)  7 Na 3.34-3.66, 3 Tl 3.38-3.44, 1 Zn 3.44
Na (0.9575, 0.2495, 0.9149)  2 Zn 3.31, 8 Na 3.44-3.66, 1 Tl 3.53
Na (0.5978, 0.4469, 0.1957)  7 Na 3.34-3.66, 3 Tl 3.38-3.44, 1 Zn 3.44
Na (0.6774, 0.9115, 0.3548)  1 Zn 3.38, 8 Na 3.42-3.61, 3 Tl 3.45-3.47
Tl (0.2240, 0.6376, 0.4481)  10 Na 3.33-3.53, 2 Tl 3.49
Tl (0.7760, 0.3624, 0.5519)  10 Na 3.33-3.53, 2 Tl 3.49
Zn (0.5000, 0.0000, 0.0000)  12 Na 3.31-3.63

SG: C2/m, No. 12
Formation energy from the elements (eV per formula unit): -0.29


Entry 7:
Below is a relaxed structure of NdAlZnPd2, with properties calculated at the PBE level.

Cell: 5.6900 5.3737 7.0342 Å, 112.46 90.00 90.00°
Closest atoms and distances in Å follow each position.
Fractional coordinates of all 10 atoms:
Zn (0.0000, 0.5000, 0.0000)  2 Pd 2.52, 2 Zn 2.69
Zn (0.0000, 0.0000, 0.0000)  2 Pd 2.52, 2 Zn 2.69
Pd (0.3012, 0.3577, 0.7155)  1 Zn 2.52, 2 Al 2.55, 1 Pd 2.80
Pd (0.6988, 0.8577, 0.7155)  1 Zn 2.52, 2 Al 2.55, 1 Pd 2.80
Pd (0.6988, 0.6423, 0.2845)  1 Zn 2.52, 2 Al 2.55, 1 Pd 2.80
Pd (0.3012, 0.1423, 0.2845)  1 Zn 2.52, 2 Al 2.55, 1 Pd 2.80
Al (0.5000, 0.7500, 0.0000)  4 Pd 2.55, 2 Al 2.69
Al (0.5000, 0.2500, 0.0000)  4 Pd 2.55, 2 Al 2.69
Nd (0.7714, 0.2500, 0.5000)  8 Pd 3.02-3.32
Nd (0.2286, 0.7500, 0.5000)  8 Pd 3.02-3.32

SG: Cmme, No. 67
Formation energy from the elements (eV per formula unit): -2.95


Entry 8:
Below is a relaxed structure of Mg4BiRh, with properties calculated at the PBE level.

Cell: 5.7573 8.6573 7.6376 Å, 113.44 97.06 116.62°
Closest atoms and distances in Å follow each position.
Fractional coordinates of all 12 atoms:
Mg (0.5853, 0.0542, 0.3175)  2 Rh 2.64-2.66
Mg (0.7419, 0.3331, 0.1276)  2 Rh 2.66-2.67
Mg (0.2321, 0.2633, 0.3175)  2 Rh 2.64-2.66
Mg (0.1142, 0.2055, 0.8724)  2 Rh 2.66-2.67
Mg (0.7679, 0.7367, 0.6825)  2 Rh 2.64-2.66
Mg (0.4147, 0.9458, 0.6825)  2 Rh 2.64-2.66
Mg (0.8858, 0.7945, 0.1276)  2 Rh 2.66-2.67
Mg (0.2581, 0.6669, 0.8724)  2 Rh 2.66-2.67
Bi (0.6089, 0.3589, 0.7178)  8 Mg 3.08-3.25
Bi (0.3911, 0.6411, 0.2822)  8 Mg 3.08-3.25
Rh (0.7521, 0.0021, 0.0042)  8 Mg 2.64-2.67, 2 Rh 2.88
Rh (0.2479, 0.9979, 0.9958)  8 Mg 2.64-2.67, 2 Rh 2.88

SG: C2/c, No. 15
Formation energy from the elements (eV per formula unit): -1.64


Entry 9:
Below is a relaxed structure of ThCu4Ni4, with properties calculated at the PBE level.

Cell: 4.0674 7.8393 7.8393 Å, 90.00 90.00 90.00°
Closest atoms and distances in Å follow each position.
Fractional coordinates of all 18 atoms:
Ni (0.0036, 0.2790, 0.3625)  4 Cu 2.39-2.63
Ni (0.5036, 0.8625, 0.2210)  4 Cu 2.39-2.63
Ni (0.9964, 0.6375, 0.2790)  4 Cu 2.39-2.63
Ni (0.4964, 0.2210, 0.1375)  4 Cu 2.39-2.63
Ni (0.4964, 0.7790, 0.8625)  4 Cu 2.39-2.63
Ni (0.5036, 0.1375, 0.7790)  4 Cu 2.39-2.63
Ni (0.9964, 0.3625, 0.7210)  4 Cu 2.39-2.63
Ni (0.0036, 0.7210, 0.6375)  4 Cu 2.39-2.63
Th (0.0000, 0.0000, 0.0000)  8 Ni 2.87-2.89, 4 Cu 2.98
Th (0.5000, 0.5000, 0.5000)  8 Ni 2.87-2.89, 4 Cu 2.98
Cu (0.9954, 0.3734, 0.0731)  1 Cu 2.29, 3 Ni 2.39-2.42
Cu (0.0046, 0.9269, 0.3734)  1 Cu 2.29, 3 Ni 2.39-2.42
Cu (0.4954, 0.5731, 0.1266)  1 Cu 2.29, 3 Ni 2.39-2.42
Cu (0.5046, 0.1266, 0.4269)  1 Cu 2.29, 3 Ni 2.39-2.42
Cu (0.9954, 0.6266, 0.9269)  1 Cu 2.29, 3 Ni 2.39-2.42
Cu (0.5046, 0.8734, 0.5731)  1 Cu 2.29, 3 Ni 2.39-2.42
Cu (0.4954, 0.4269, 0.8734)  1 Cu 2.29, 3 Ni 2.39-2.42
Cu (0.0046, 0.0731, 0.6266)  1 Cu 2.29, 3 Ni 2.39-2.42

SG: P4_2/n, No. 86
Formation energy from the elements (eV per formula unit): -0.33


Entry 10:
Below is a relaxed structure of Nd6Sb2Te3Br, with properties calculated at the PBE level.

Cell: 4.5016 8.9748 10.0736 Å, 102.69 102.91 90.00°
Closest atoms and distances in Å follow each position.
Fractional coordinates of all 12 atoms:
Sb (0.8338, 0.6685, 0.6676)  6 Nd 3.10-3.16
Sb (0.1662, 0.3315, 0.3324)  6 Nd 3.10-3.16
Nd (0.6763, 0.0958, 0.3526)  3 Te 3.12-3.21, 2 Sb 3.13, 1 Br 3.37
Nd (0.3237, 0.9042, 0.6474)  3 Te 3.12-3.21, 2 Sb 3.13, 1 Br 3.37
Nd (0.6690, 0.5797, 0.3380)  3 Sb 3.15-3.16, 3 Te 3.23-3.24
Nd (0.0045, 0.2687, 0.0091)  3 Te 3.08-3.17, 1 Sb 3.10, 2 Br 3.29
Nd (0.9955, 0.7313, 0.9909)  3 Te 3.08-3.17, 1 Sb 3.10, 2 Br 3.29
Nd (0.3310, 0.4203, 0.6620)  3 Sb 3.15-3.16, 3 Te 3.23-3.24
Te (0.1608, 0.8346, 0.3216)  6 Nd 3.12-3.24
Te (0.8392, 0.1654, 0.6784)  6 Nd 3.12-3.24
Te (0.5000, 0.5000, 0.0000)  6 Nd 3.08-3.23
Br (0.5000, 0.0000, 0.0000)  6 Nd 3.29-3.37

SG: C2/m, No. 12
Uncorrected formation energy (eV per atom): -1.312


| no. | calculated volume (Å³/cell) |
| --- | --- |
| 1 | 81.1 |
| 2 | 536.9 |
| 3 | 83.0 |
| 4 | 123.5 |
| 5 | 157.6 |
| 6 | 325.6 |
| 7 | 198.8 |
| 8 | 290.4 |
| 9 | 250.0 |
| 10 | 386.5 |